[1]
The following is a GGA-PBEsol calculation of a relaxed Ba2CuSi crystal, from Alexandria via LeMat-Bulk.

Cell and atoms, written as POSCAR:
```
Ba2CuSi
1.0
4.388 0.000 0.000
0.000 2.605 5.221
0.000 -2.605 5.221
Ba Cu Si
2 1 1
Direct
0.000 0.000 0.000 Ba
0.500 0.312 0.312 Ba
0.000 0.686 0.686 Cu
0.500 0.626 0.626 Si
```

ΔE_f (raw)   -236 meV/atom
Crystal system   orthorhombic

---

[2]
The following is a GGA-PBEsol calculation of a relaxed KBaP2 crystal, from Alexandria via LeMat-Bulk.

Cell and atoms, written as POSCAR:
```
KBaP2
1.0
4.697 0.000 0.000
0.000 4.066 0.000
-0.047 0.000 7.138
K Ba P
1 1 2
Direct
0.000 0.000 0.000 K
0.500 0.000 0.500 Ba
0.002 0.500 0.650 P
0.998 0.500 0.350 P
```

Energy above the most stable polymorph in this dataset   0 meV per atom
Formation energy from the elements   -0.63 eV per atom
Crystal system   monoclinic

---

[3]
The following is a GGA-PBEsol calculation of a relaxed TlCr2Cl crystal, from Alexandria via LeMat-Bulk.

Cell and atoms, written as POSCAR:
```
TlCr2Cl
1.0
3.278 -3.697 0.000
3.278 3.697 0.000
0.000 0.000 3.129
Tl Cr Cl
1 2 1
Direct
0.000 0.000 0.000 Tl
0.000 0.500 0.500 Cr
0.500 0.000 0.500 Cr
0.500 0.500 0.000 Cl
```

Energy above the most stable polymorph in this dataset   141 meV per atom
ΔE_f (raw)   665 meV/atom
Crystal system   orthorhombic

---

[4]
The following is a GGA-PBEsol calculation of a relaxed SrLi2P crystal, from Alexandria via LeMat-Bulk.

Cell and atoms, written as POSCAR:
```
SrLi2P
1.0
-2.243 2.243 8.880
2.243 -2.243 8.880
2.243 2.243 -8.880
Sr Li P
2 4 2
Direct
0.000 0.000 0.000 Sr
0.750 0.250 0.500 Sr
0.294 0.625 0.169 Li
0.375 0.544 0.669 Li
0.456 0.125 0.831 Li
0.875 0.706 0.331 Li
0.250 0.750 0.500 P
0.500 0.500 0.000 P
```

Formation energy from the elements   -0.40 eV per atom
Crystal system   tetragonal

---

[5]
The following is a GGA-PBEsol calculation of a relaxed K2HgI2 crystal, from Alexandria via LeMat-Bulk.

Cell and atoms, written as POSCAR:
```
K2HgI2
1.0
9.380 0.000 0.000
0.000 9.380 0.000
0.000 0.000 4.366
K Hg I
4 2 4
Direct
0.143 0.357 0.000 K
0.357 0.857 0.000 K
0.643 0.143 0.000 K
0.857 0.643 0.000 K
0.000 0.000 0.000 Hg
0.500 0.500 0.000 Hg
0.157 0.657 0.500 I
0.343 0.157 0.500 I
0.657 0.843 0.500 I
0.843 0.343 0.500 I
```

ΔE_f (raw)   -1058 meV/atom
Crystal system   tetragonal

---

[6]
The following is a GGA-PBEsol calculation of a relaxed Fe3Co5 crystal, from Alexandria via LeMat-Bulk.

Cell and atoms, written as POSCAR:
```
Fe3Co5
1.0
2.411 -3.939 0.000
2.411 3.939 0.000
-1.622 0.000 4.545
Fe Co
3 5
Direct
0.000 0.000 0.000 Fe
0.503 0.003 0.749 Fe
0.997 0.497 0.251 Fe
0.000 0.503 0.751 Co
0.004 0.996 0.500 Co
0.492 0.508 0.500 Co
0.497 0.000 0.249 Co
0.503 0.497 0.000 Co
```

Formation energy from the elements   0.03 eV per atom
Crystal system   monoclinic

---

[7]
The following is a GGA-PBEsol calculation of a relaxed Mg2RhBr crystal, from Alexandria via LeMat-Bulk.

Cell and atoms, written as POSCAR:
```
Mg2RhBr
1.0
-1.671 1.680 7.294
1.671 -1.680 7.294
1.671 1.680 -7.294
Mg Rh Br
2 1 1
Direct
0.000 0.000 0.000 Mg
0.705 0.205 0.500 Mg
0.134 0.634 0.500 Rh
0.387 0.387 0.000 Br
```

Energy above the most stable polymorph in this dataset   5 meV per atom
ΔE_f (raw)   -408 meV/atom
Crystal system   orthorhombic

---

[8]
The following is a GGA-PBEsol calculation of a relaxed KRe2Rh crystal, from Alexandria via LeMat-Bulk.

Cell and atoms, written as POSCAR:
```
KRe2Rh
1.0
2.670 0.000 0.000
0.000 3.848 0.000
0.000 0.000 7.820
K Re Rh
1 2 1
Direct
0.000 0.000 0.000 K
0.000 0.000 0.511 Re
0.500 0.500 0.355 Re
0.500 0.500 0.680 Rh
```

Energy above the most stable polymorph in this dataset   0 meV per atom
Formation energy from the elements   0.74 eV per atom
Crystal system   orthorhombic

---

| no. | total moment (μB/cell) |
| --- | --- |
| 1 | 0.0 |
| 2 | 0.0 |
| 3 | 8.4 |
| 4 | 0.0 |
| 5 | 0.0 |
| 6 | 16.4 |
| 7 | 0.0 |
| 8 | 0.0 |